1.
Material: Nd3SmHo2S6
Method: DFT, PBE
State: optimized geometry

```
12
Lattice="-2.600 -6.168 1.683 5.042 2.791 3.799 -5.311 4.063 1.977" Properties=species:S:1:pos:R:3 pbc="T T T"
S -0.917 2.090 5.984
S -3.425 2.224 2.953
Nd -1.435 0.343 3.730
Nd 1.138 3.359 4.442
S 0.555 -1.538 4.506
Sm 0.000 0.000 0.000
Ho 2.492 -0.198 3.093
S 0.650 1.648 2.196
S -3.520 -0.962 5.263
Nd -4.007 -2.673 3.017
Ho -0.050 -3.179 2.389
S -1.952 -1.404 1.475
```

Output
E_form (uncorrected): -2.014 eV per atom
Symmetry: C2/m (12)

=====

2.
Material: TcSbSe2
Method: DFT, PBE
State: optimized geometry

```
4
Lattice="-3.181 -3.392 4.478 1.716 -5.656 2.595 1.151 6.223 -1.277" Properties=species:S:1:pos:R:3 pbc="T T T"
Tc 1.067 -1.979 2.427
Sb -1.381 -0.847 3.369
Se -0.622 -3.840 3.001
Se -0.111 -0.684 0.535
```

Output
E_form (uncorrected): 0.119 eV per atom
Symmetry: Immm (71)